DFT (GGA-PBE) results for a relaxed structure of Tl4AsCl.

The density comes out at 8.37 Mg/m³. As for the energy above the lowest structure with this stoichiometry: 354.7 meV/atom. For the total energy, the calculation gives -61.44 eV for the cell shown.

The space group is F-43m (No. 216) and the conventional cell measures 9.030, 9.030 and 9.030 Å, with angles of 90.00, 90.00 and 90.00 degrees. The inequivalent atoms are Tl at (0.125, 0.125, 0.125), As at (0.250, 0.250, 0.750) and Cl at (0.000, 0.000, 0.500).


DFT (GGA-PBE) results for a relaxed structure of Tl3As2Cl9.

The density comes out at 4.22 Mg/m³. For the total energy, the calculation gives -89.66 eV for the cell shown.

The space group is P6_3/mmc (No. 194) and the conventional cell measures 7.2928, 7.2928 and 18.5057 Å, with angles of 90.00, 90.00 and 120.00 degrees. The inequivalent atoms are Tl at (0.0000, 0.0000, 0.2500), Tl at (0.3333, 0.6667, 0.1168), As at (0.3333, 0.6667, 0.6516), Cl at (0.0094, 0.5047, 0.2500) and Cl at (0.1765, 0.3530, 0.5867).


DFT (GGA-PBE) results for a relaxed structure of Tl12As3Cl5.

The density comes out at 6.15 Mg/m³. For the total energy, the calculation gives -462.38 eV for the cell shown.

The space group is Ia-3d (No. 230) and the conventional cell measures 18.342, 18.342 and 18.342 Å, with angles of 90.00, 90.00 and 90.00 degrees. The inequivalent atoms are Tl at (0.009, 0.067, 0.657), As at (0.000, 0.250, 0.125), Cl at (0.000, 0.000, 0.000) and Cl at (0.000, 0.250, 0.375).


DFT (GGA-PBE) results for a relaxed structure of Tl4AsCl.

The density comes out at 7.42 Mg/m³. As for the energy above the lowest structure with this stoichiometry: 0.0 meV/atom. For the total energy, the calculation gives -69.95 eV for the cell shown.

The space group is C2/c (No. 15) and the conventional cell measures 8.381, 15.628 and 6.671 Å, with angles of 90.00, 108.02 and 90.00 degrees. The inequivalent atoms are Tl at (0.181, 0.056, 0.110), Tl at (0.212, 0.189, 0.717), As at (0.000, 0.193, 0.250) and Cl at (0.000, 0.353, 0.750).


DFT (GGA-PBE) results for a relaxed structure of Tl6As2Cl.

The density comes out at 8.11 Mg/m³. For the total energy, the calculation gives -53.90 eV for the cell shown.

The space group is C2/m (No. 12) and the conventional cell measures 13.836, 4.411 and 9.480 Å, with angles of 90.00, 92.09 and 90.00 degrees. The inequivalent atoms are Tl at (0.035, 0.000, 0.267), Tl at (0.133, 0.500, 0.030), Tl at (0.218, 0.500, 0.641), As at (0.167, 0.000, 0.832) and Cl at (0.000, 0.500, 0.500).


DFT (GGA-PBE) results for a relaxed structure of TlAs2Cl8.

The density comes out at 2.41 Mg/m³. For the total energy, the calculation gives -66.93 eV for the cell shown.

The space group is C2/m (No. 12) and the conventional cell measures 12.625, 9.563 and 7.270 Å, with angles of 90.00, 91.03 and 90.00 degrees. The inequivalent atoms are Tl at (0.000, 0.000, 0.000), As at (0.245, 0.500, 0.395), Cl at (0.109, 0.500, 0.192), Cl at (0.149, 0.000, 0.260) and Cl at (0.163, 0.176, 0.722).


DFT (GGA-PBE) results for a relaxed structure of TlAsCl2.

The density comes out at 5.38 Mg/m³. As for the energy above the lowest structure with this stoichiometry: 59.6 meV/atom. For the total energy, the calculation gives -36.13 eV for the cell shown.

The space group is R-3m (No. 166, hexagonal axes) and the conventional cell measures 3.6182, 3.6182 and 28.6184 Å, with angles of 90.00, 90.00 and 120.00 degrees. The inequivalent atoms are Tl at (0.0000, 0.0000, 0.0000), As at (0.0000, 0.0000, 0.5000) and Cl at (0.0000, 0.0000, 0.4145).


DFT (GGA-PBE) results for a relaxed structure of TlAsCl6.

The density comes out at 3.33 Mg/m³. For the total energy, the calculation gives -22.70 eV for the cell shown.

The space group is P-1 (No. 2) and the conventional cell measures 6.757, 6.757 and 7.306 Å, with angles of 62.48, 89.99 and 60.23 degrees. The inequivalent atoms are Tl at (0.000, 0.000, 0.000), As at (0.500, 0.000, 0.500), Cl at (0.124, 0.371, 0.286), Cl at (0.338, 0.782, 0.711) and Cl at (0.492, 0.167, 0.712).


DFT (GGA-PBE) results for a relaxed structure of TlAsCl2.

The density comes out at 4.40 Mg/m³. As for the energy above the lowest structure with this stoichiometry: 219.2 meV/atom. For the total energy, the calculation gives -45.61 eV for the cell shown.

The space group is I-42d (No. 122) and the conventional cell measures 5.630, 5.630 and 16.690 Å, with angles of 90.00, 90.00 and 90.00 degrees. The inequivalent atoms are Tl at (0.000, 0.000, 0.000), As at (0.000, 0.000, 0.500) and Cl at (0.158, 0.250, 0.625).


DFT (GGA-PBE) results for a relaxed structure of TlAs3Cl.

The density comes out at 4.93 Mg/m³. As for the energy above the lowest structure with this stoichiometry: 253.0 meV/atom. For the total energy, the calculation gives -12.52 eV for the cell shown.

The space group is Pm-3m (No. 221) and the conventional cell measures 5.388, 5.388 and 5.388 Å, with angles of 90.00, 90.00 and 90.00 degrees. The inequivalent atoms are Tl at (0.000, 0.000, 0.000), As at (0.000, 0.000, 0.500) and Cl at (0.500, 0.500, 0.500).


DFT (GGA-PBE) results for a relaxed structure of TlAsCl2.

The density comes out at 6.03 Mg/m³. As for the energy above the lowest structure with this stoichiometry: 288.1 meV/atom. For the total energy, the calculation gives -33.38 eV for the cell shown.

The space group is R-3m (No. 166, hexagonal axes) and the conventional cell measures 3.4803, 3.4803 and 27.5741 Å, with angles of 90.00, 90.00 and 120.00 degrees. The inequivalent atoms are Tl at (0.0000, 0.0000, 0.0000), As at (0.0000, 0.0000, 0.5000) and Cl at (0.0000, 0.0000, 0.2451).


DFT (GGA-PBE) results for a relaxed structure of TlAsCl2.

The density comes out at 5.27 Mg/m³. As for the energy above the lowest structure with this stoichiometry: 0.0 meV/atom. For the total energy, the calculation gives -24.56 eV for the cell shown.

The space group is Immm (No. 71) and the conventional cell measures 3.748, 5.961 and 9.872 Å, with angles of 90.00, 90.00 and 90.00 degrees. The inequivalent atoms are Tl at (0.000, 0.000, 0.000), As at (0.000, 0.000, 0.500) and Cl at (0.000, 0.500, 0.181).


DFT (GGA-PBE) results for a relaxed structure of TlAsCl2.

The density comes out at 5.19 Mg/m³. As for the energy above the lowest structure with this stoichiometry: 216.3 meV/atom. For the total energy, the calculation gives -22.83 eV for the cell shown.

The space group is Imm2 (No. 44) and the conventional cell measures 3.658, 4.076 and 15.026 Å, with angles of 90.00, 90.00 and 90.00 degrees. The inequivalent atoms are Tl at (0.000, 0.000, 0.000), As at (0.000, 0.500, 0.327), Cl at (0.000, 0.000, 0.586) and Cl at (0.000, 0.500, 0.808).


DFT (GGA-PBE) results for a relaxed structure of TlAsCl4.

The density comes out at 3.50 Mg/m³. As for the energy above the lowest structure with this stoichiometry: 0.0 meV/atom. For the total energy, the calculation gives -76.97 eV for the cell shown.

The space group is P2_1/c (No. 14) and the conventional cell measures 8.126, 11.754 and 8.962 Å, with angles of 90.00, 110.84 and 90.00 degrees. The inequivalent atoms are Tl at (0.125, 0.203, 0.124), As at (0.310, 0.603, 0.851), Cl at (0.003, 0.561, 0.735), Cl at (0.269, 0.715, 0.262), Cl at (0.344, 0.140, 0.481) and Cl at (0.378, 0.532, 0.651).


DFT (GGA-PBE) results for a relaxed structure of TlAsCl3.

The density comes out at 3.37 Mg/m³. As for the energy above the lowest structure with this stoichiometry: 0.0 meV/atom. For the total energy, the calculation gives -32.53 eV for the cell shown.

The space group is P-1 (No. 2) and the conventional cell measures 5.908, 6.167 and 10.507 Å, with angles of 84.11, 87.07 and 89.22 degrees. The inequivalent atoms are Tl at (0.234, 0.247, 0.026), As at (0.433, 0.566, 0.389), Cl at (0.213, 0.376, 0.687), Cl at (0.284, 0.735, 0.085) and Cl at (0.390, 0.224, 0.344).


DFT (GGA-PBE) results for a relaxed structure of TlAsCl2.

The density comes out at 6.04 Mg/m³. As for the energy above the lowest structure with this stoichiometry: 506.1 meV/atom. For the total energy, the calculation gives -41.02 eV for the cell shown.

The space group is F-43m (No. 216) and the conventional cell measures 7.275, 7.275 and 7.275 Å, with angles of 90.00, 90.00 and 90.00 degrees. The inequivalent atoms are Tl at (0.000, 0.000, 0.000), As at (0.250, 0.250, 0.250), Cl at (0.000, 0.000, 0.500) and Cl at (0.250, 0.250, 0.750).


DFT (GGA-PBE) results for a relaxed structure of TlAsCl2.

The density comes out at 5.01 Mg/m³. As for the energy above the lowest structure with this stoichiometry: 50.8 meV/atom. For the total energy, the calculation gives -12.08 eV for the cell shown.

The space group is P2/m (No. 10) and the conventional cell measures 5.540, 3.741 and 5.854 Å, with angles of 90.00, 106.95 and 90.00 degrees. The inequivalent atoms are Tl at (0.000, 0.000, 0.000), As at (0.500, 0.000, 0.500) and Cl at (0.311, 0.500, 0.698).


DFT (GGA-PBE) results for a relaxed structure of TlAsCl3.

The density comes out at 4.09 Mg/m³. As for the energy above the lowest structure with this stoichiometry: 809.2 meV/atom. For the total energy, the calculation gives -12.22 eV for the cell shown.

The space group is Pm-3m (No. 221) and the conventional cell measures 5.388, 5.388 and 5.388 Å, with angles of 90.00, 90.00 and 90.00 degrees. The inequivalent atoms are Tl at (0.000, 0.000, 0.000), As at (0.500, 0.500, 0.500) and Cl at (0.000, 0.000, 0.500).


DFT (GGA-PBE) results for a relaxed structure of TlAsCl2.

The density comes out at 4.64 Mg/m³. As for the energy above the lowest structure with this stoichiometry: 261.2 meV/atom. For the total energy, the calculation gives -22.47 eV for the cell shown.

The space group is Cmm2 (No. 35) and the conventional cell measures 4.045, 6.992 and 8.859 Å, with angles of 90.00, 90.00 and 90.00 degrees. The inequivalent atoms are Tl at (0.000, 0.000, 0.000), As at (0.000, 0.500, 0.273), Cl at (0.000, 0.000, 0.425) and Cl at (0.000, 0.500, 0.793).


DFT (GGA-PBE) results for a relaxed structure of TlAsCl2.

The density comes out at 5.54 Mg/m³. As for the energy above the lowest structure with this stoichiometry: 165.5 meV/atom. For the total energy, the calculation gives -23.24 eV for the cell shown.

The space group is Cmmm (No. 65) and the conventional cell measures 3.502, 6.384 and 9.398 Å, with angles of 90.00, 90.00 and 90.00 degrees. The inequivalent atoms are Tl at (0.000, 0.000, 0.000), As at (0.000, 0.000, 0.500) and Cl at (0.000, 0.500, 0.299).


DFT (GGA-PBE) results for a relaxed structure of TlAsCl2.

The density comes out at 5.51 Mg/m³. As for the energy above the lowest structure with this stoichiometry: 417.1 meV/atom. For the total energy, the calculation gives -42.45 eV for the cell shown.

The space group is Fm-3m (No. 225) and the conventional cell measures 7.502, 7.502 and 7.502 Å, with angles of 90.00, 90.00 and 90.00 degrees. The inequivalent atoms are Tl at (0.000, 0.000, 0.000), As at (0.000, 0.000, 0.500) and Cl at (0.250, 0.250, 0.250).